No. 1
# PBE-GGA Pr6Co2Sn, relaxed
data_Pr6Co2Sn
_chemical_formula_sum 'Pr24 Co8 Sn4'
_space_group_name_H-M_alt 'I m m m'
_space_group_IT_number 71
_space_group_name_Hall '-I 2 2'
_cell_length_a 9.681
_cell_length_b 10.179
_cell_length_c 10.420
_cell_angle_alpha 90.00
_cell_angle_beta 90.00
_cell_angle_gamma 90.00
loop_
_atom_site_label
_atom_site_type_symbol
_atom_site_fract_x
_atom_site_fract_y
_atom_site_fract_z
_atom_site_occupancy
Pr1 Pr 0.000 0.203 0.233 1
Pr2 Pr 0.185 0.500 0.177 1
Pr3 Pr 0.214 0.316 0.500 1
Co1 Co 0.000 0.347 0.000 1
Co2 Co 0.000 0.500 0.391 1
Sn1 Sn 0.000 0.000 0.000 1
Sn2 Sn 0.000 0.000 0.500 1
# Final energy   -5.421 eV/atom
# DFT formation energy   -211 meV/atom
# M_tot   0.001 μB/f.u.

No. 2
# PBE-GGA TiVReSi, relaxed
data_TiVReSi
_chemical_formula_sum 'Ti4 V4 Re4 Si4'
_space_group_name_H-M_alt 'F -4 3 m'
_space_group_IT_number 216
_space_group_name_Hall 'F -4 2 3'
_cell_length_a 6.071
_cell_length_b 6.071
_cell_length_c 6.071
_cell_angle_alpha 90.00
_cell_angle_beta 90.00
_cell_angle_gamma 90.00
loop_
_atom_site_label
_atom_site_type_symbol
_atom_site_fract_x
_atom_site_fract_y
_atom_site_fract_z
_atom_site_occupancy
Ti1 Ti 0.000 0.000 0.000 1
V1 V 0.250 0.250 0.250 1
Re1 Re 0.000 0.000 0.500 1
Si1 Si 0.250 0.250 0.750 1
# Final energy   -9.076 eV/atom
# Energy relative to the elements, uncorrected   -0.35 eV per atom
# M_tot   0.003 μB/f.u.

No. 3
# PBE-GGA ZnI2, relaxed
data_ZnI2
_chemical_formula_sum 'Zn32 I64'
_space_group_name_H-M_alt 'I 41/a c d'
_space_group_IT_number 142
_cell_length_a 13.510
_cell_length_b 13.510
_cell_length_c 23.172
_cell_angle_alpha 90.00
_cell_angle_beta 90.00
_cell_angle_gamma 90.00
loop_
_space_group_symop_operation_xyz
'x,y,z'
'-x,-y,-z'
'-y+1/4,x+3/4,z+1/4'
'y+1/4,-x+3/4,-z+1/4'
'-x+1/2,-y,z+1/2'
'x+1/2,y,-z+1/2'
'y+1/4,-x+1/4,z+3/4'
'-y+1/4,x+1/4,-z+3/4'
'x,-y,-z+1/2'
'-x,y,z+1/2'
'-y+1/4,-x+1/4,-z+1/4'
'y+1/4,x+1/4,z+1/4'
'-x+1/2,y,-z'
'x+1/2,-y,z'
'y+1/4,x+3/4,-z+3/4'
'-y+1/4,-x+3/4,z+3/4'
'x+1/2,y+1/2,z+1/2'
'-x+1/2,-y+1/2,-z+1/2'
'-y+3/4,x+1/4,z+3/4'
'y+3/4,-x+1/4,-z+3/4'
'-x,-y+1/2,z'
'x,y+1/2,-z'
'y+3/4,-x+3/4,z+1/4'
'-y+3/4,x+3/4,-z+1/4'
'x+1/2,-y+1/2,-z'
'-x+1/2,y+1/2,z'
'-y+3/4,-x+3/4,-z+3/4'
'y+3/4,x+3/4,z+3/4'
'-x,y+1/2,-z+1/2'
'x,-y+1/2,z+1/2'
'y+3/4,x+1/4,-z+1/4'
'-y+3/4,-x+1/4,z+1/4'
loop_
_atom_site_label
_atom_site_type_symbol
_atom_site_fract_x
_atom_site_fract_y
_atom_site_fract_z
_atom_site_occupancy
Zn1 Zn 0.090 0.125 0.312 1
I1 I 0.000 0.250 0.009 1
I2 I 0.034 0.022 0.876 1
I3 I 0.199 0.000 0.250 1
# Final energy   -2.054 eV/atom
# Energy relative to the elements, uncorrected   -0.60 eV per atom
# M_tot   0.000 μB/f.u.

No. 4
# PBE-GGA La5Pr4Tm, relaxed
data_La5Pr4Tm
_chemical_formula_sum 'La10 Pr8 Tm2'
_space_group_name_H-M_alt 'C 1 2/m 1'
_space_group_IT_number 12
_space_group_name_Hall '-C 2y'
_cell_length_a 17.742
_cell_length_b 3.657
_cell_length_c 11.801
_cell_angle_alpha 90.00
_cell_angle_beta 109.51
_cell_angle_gamma 90.00
loop_
_atom_site_label
_atom_site_type_symbol
_atom_site_fract_x
_atom_site_fract_y
_atom_site_fract_z
_atom_site_occupancy
La1 La 0.000 0.000 0.000 1
La2 La 0.192 0.500 0.088 1
La3 La 0.205 0.500 0.606 1
Pr1 Pr 0.084 0.500 0.296 1
Pr2 Pr 0.106 0.000 0.798 1
Tm1 Tm 0.000 0.000 0.500 1
# Final energy   -4.785 eV/atom
# DFT formation energy   38 meV/atom
# M_tot   0.000 μB/f.u.

No. 5
# PBE-GGA Ca4AlSe, relaxed
data_Ca4AlSe
_chemical_formula_sum 'Ca16 Al4 Se4'
_space_group_name_H-M_alt 'F -4 3 m'
_space_group_IT_number 216
_space_group_name_Hall 'F -4 2 3'
_cell_length_a 9.200
_cell_length_b 9.200
_cell_length_c 9.200
_cell_angle_alpha 90.00
_cell_angle_beta 90.00
_cell_angle_gamma 90.00
loop_
_atom_site_label
_atom_site_type_symbol
_atom_site_fract_x
_atom_site_fract_y
_atom_site_fract_z
_atom_site_occupancy
Ca1 Ca 0.125 0.125 0.125 1
Al1 Al 0.000 0.000 0.500 1
Se1 Se 0.250 0.250 0.750 1
# Final energy   -2.341 eV/atom
# Energy relative to the elements, uncorrected   0.20 eV per atom
# M_tot   0.000 μB/f.u.

No. 6
# PBE-GGA Tl12Sn5Hg2, relaxed
data_Tl12Sn5Hg2
_chemical_formula_sum 'Tl24 Sn10 Hg4'
_space_group_name_H-M_alt 'C 1 2/m 1'
_space_group_IT_number 12
_space_group_name_Hall '-C 2y'
_cell_length_a 22.182
_cell_length_b 10.432
_cell_length_c 5.138
_cell_angle_alpha 90.00
_cell_angle_beta 103.11
_cell_angle_gamma 90.00
loop_
_atom_site_label
_atom_site_type_symbol
_atom_site_fract_x
_atom_site_fract_y
_atom_site_fract_z
_atom_site_occupancy
Tl1 Tl 0.093 0.000 0.093 1
Tl2 Tl 0.095 0.500 0.097 1
Tl3 Tl 0.096 0.248 0.597 1
Tl4 Tl 0.198 0.238 0.199 1
Sn1 Sn 0.000 0.000 0.500 1
Sn2 Sn 0.198 0.500 0.698 1
Sn3 Sn 0.210 0.000 0.713 1
Hg1 Hg 0.000 0.262 0.000 1
# Final energy   -2.542 eV/atom
# DFT formation energy   37 meV/atom
# M_tot   0.000 μB/f.u.

No. 7
# PBE-GGA NdSm5Tl2, relaxed
data_NdSm5Tl2
_chemical_formula_sum 'Nd2 Sm10 Tl4'
_space_group_name_H-M_alt 'I m m m'
_space_group_IT_number 71
_space_group_name_Hall '-I 2 2'
_cell_length_a 3.722
_cell_length_b 10.792
_cell_length_c 12.744
_cell_angle_alpha 90.00
_cell_angle_beta 90.00
_cell_angle_gamma 90.00
loop_
_atom_site_label
_atom_site_type_symbol
_atom_site_fract_x
_atom_site_fract_y
_atom_site_fract_z
_atom_site_occupancy
Nd1 Nd 0.000 0.000 0.000 1
Sm1 Sm 0.000 0.223 0.363 1
Sm2 Sm 0.000 0.500 0.000 1
Tl1 Tl 0.000 0.500 0.268 1
# Final energy   -4.262 eV/atom
# Polymorph energy (0 for the lowest one)   0 meV/atom
# DFT formation energy   -125 meV/atom
# M_tot   0.003 μB/f.u.

No. 8
# PBE-GGA CsAc2P2N6, relaxed
data_CsAc2P2N6
_chemical_formula_sum 'Cs2 Ac4 P4 N12'
_space_group_name_H-M_alt 'C 1 2/m 1'
_space_group_IT_number 12
_space_group_name_Hall '-C 2y'
_cell_length_a 11.516
_cell_length_b 6.909
_cell_length_c 6.925
_cell_angle_alpha 90.00
_cell_angle_beta 117.15
_cell_angle_gamma 90.00
loop_
_atom_site_label
_atom_site_type_symbol
_atom_site_fract_x
_atom_site_fract_y
_atom_site_fract_z
_atom_site_occupancy
Cs1 Cs 0.000 0.000 0.000 1
Ac1 Ac 0.180 0.500 0.299 1
P1 P 0.153 0.500 0.741 1
N1 N 0.072 0.500 0.872 1
N2 N 0.197 0.309 0.666 1
# Final energy   -7.028 eV/atom
# Energy relative to the elements, uncorrected   -0.68 eV per atom
# M_tot   1.037 μB/f.u.

No. 9
# PBE-GGA In2GaP2, relaxed
data_In2GaP2
_chemical_formula_sum 'In4 Ga2 P4'
_space_group_name_H-M_alt 'P 4/m b m'
_space_group_IT_number 127
_space_group_name_Hall '-P 4 2ab'
_cell_length_a 7.473
_cell_length_b 7.473
_cell_length_c 3.723
_cell_angle_alpha 90.00
_cell_angle_beta 90.00
_cell_angle_gamma 90.00
loop_
_atom_site_label
_atom_site_type_symbol
_atom_site_fract_x
_atom_site_fract_y
_atom_site_fract_z
_atom_site_occupancy
In1 In 0.148 0.352 0.000 1
Ga1 Ga 0.000 0.000 0.500 1
P1 P 0.163 0.663 0.500 1
# Final energy   -3.686 eV/atom
# Polymorph energy (0 for the lowest one)   0 meV/atom
# DFT formation energy   178 meV/atom
# M_tot   0.000 μB/f.u.

No. 10
# PBE-GGA ZrBeOs, relaxed
data_ZrBeOs
_chemical_formula_sum 'Zr2 Be2 Os2'
_space_group_name_H-M_alt 'I 4 m m'
_space_group_IT_number 107
_space_group_name_Hall 'I 4 -2'
_cell_length_a 3.158
_cell_length_b 3.158
_cell_length_c 9.052
_cell_angle_alpha 90.00
_cell_angle_beta 90.00
_cell_angle_gamma 90.00
loop_
_atom_site_label
_atom_site_type_symbol
_atom_site_fract_x
_atom_site_fract_y
_atom_site_fract_z
_atom_site_occupancy
Zr1 Zr 0.000 0.000 0.000 1
Be1 Be 0.000 0.000 0.302 1
Os1 Os 0.000 0.000 0.701 1
# Final energy   -8.066 eV/atom
# Polymorph energy (0 for the lowest one)   145 meV/atom
# DFT formation energy   -231 meV/atom
# M_tot   0.000 μB/f.u.

No. 11
# PBE-GGA Sm3Mg7Pd4, relaxed
data_Sm3Mg7Pd4
_chemical_formula_sum 'Sm6 Mg14 Pd8'
_space_group_name_H-M_alt 'C 1 2/m 1'
_space_group_IT_number 12
_space_group_name_Hall '-C 2y'
_cell_length_a 16.103
_cell_length_b 4.400
_cell_length_c 10.446
_cell_angle_alpha 90.00
_cell_angle_beta 123.97
_cell_angle_gamma 90.00
loop_
_atom_site_label
_atom_site_type_symbol
_atom_site_fract_x
_atom_site_fract_y
_atom_site_fract_z
_atom_site_occupancy
Sm1 Sm 0.000 0.000 0.000 1
Sm2 Sm 0.196 0.500 0.712 1
Mg1 Mg 0.000 0.000 0.500 1
Mg2 Mg 0.014 0.500 0.298 1
Mg3 Mg 0.167 0.000 0.430 1
Mg4 Mg 0.179 0.500 0.014 1
Pd1 Pd 0.109 0.000 0.823 1
Pd2 Pd 0.165 0.500 0.262 1
# Final energy   -3.814 eV/atom
# DFT formation energy   -521 meV/atom
# M_tot   0.000 μB/f.u.

No. 12
# PBE-GGA As2SeIBr, relaxed
data_As2SeIBr
_chemical_formula_sum 'As2 Se1 I1 Br1'
_space_group_name_H-M_alt 'P 4/m m m'
_space_group_IT_number 123
_space_group_name_Hall '-P 4 2'
_cell_length_a 5.249
_cell_length_b 5.249
_cell_length_c 5.196
_cell_angle_alpha 90.00
_cell_angle_beta 90.00
_cell_angle_gamma 90.00
loop_
_atom_site_label
_atom_site_type_symbol
_atom_site_fract_x
_atom_site_fract_y
_atom_site_fract_z
_atom_site_occupancy
As1 As 0.000 0.500 0.000 1
Se1 Se 0.000 0.000 0.000 1
I1 I 0.500 0.500 0.500 1
Br1 Br 0.000 0.000 0.500 1
# Final energy   -2.552 eV/atom
# Polymorph energy (0 for the lowest one)   0 meV/atom
# Energy relative to the elements, uncorrected   0.65 eV per atom
# M_tot   0.000 μB/f.u.